No. 1
{"formula": "Fe2NiRh", "functional": "GGA-PBEsol", "state": "optimized geometry", "cell": [[2.579, 0.000, 0.000], [0.000, 4.377, -0.003], [0.000, -1.382, 4.153]], "species": ["Ni", "Rh", "Fe", "Fe"], "fractional_positions": [[0.500, 0.000, 0.000], [0.500, 0.500, 0.500], [0.000, 0.500, 0.000], [0.000, 0.000, 0.500]]}

No. 2
{"formula": "AlCoPt2", "functional": "GGA-PBEsol", "state": "optimized geometry", "cell": [[4.276, 0.000, 0.000], [2.138, 3.703, 0.000], [2.138, 1.234, 3.492]], "species": ["Co", "Al", "Pt", "Pt"], "fractional_positions": [[0.750, 0.750, 0.750], [0.500, 0.500, 0.500], [0.000, 0.000, 0.000], [0.250, 0.250, 0.250]]}

No. 3
{"formula": "LiTa2In", "functional": "GGA-PBEsol", "state": "optimized geometry", "cell": [[4.653, 0.000, 0.000], [2.327, 4.030, 0.000], [2.327, 1.343, 3.799]], "species": ["In", "Li", "Ta", "Ta"], "fractional_positions": [[0.500, 0.500, 0.500], [0.750, 0.750, 0.750], [0.000, 0.000, 0.000], [0.250, 0.250, 0.250]]}

No. 4
{"formula": "Rb2CdHg2", "functional": "GGA-PBEsol", "state": "optimized geometry", "de_polymorph_ev_per_atom": 0.0000, "cell": [[5.568, 0.000, 0.000], [0.000, 7.875, 0.000], [0.000, 0.000, 7.875]], "species": ["Hg", "Hg", "Hg", "Hg", "Rb", "Rb", "Rb", "Rb", "Cd", "Cd"], "fractional_positions": [[0.000, 0.365, 0.865], [0.000, 0.865, 0.635], [0.000, 0.635, 0.135], [0.000, 0.135, 0.365], [0.500, 0.176, 0.676], [0.500, 0.676, 0.824], [0.500, 0.824, 0.324], [0.500, 0.324, 0.176], [0.000, 0.000, 0.000], [0.000, 0.500, 0.500]]}

Table of DOS at the Fermi energy (states/eV/atom), in record order: 1.15; 1.33; 1.46; 0.49
Table of ΔE_f (eV/atom), in record order: 0.0126; -0.3138; 0.4347; -0.1224